# 1
{"formula": "HfIn2Au", "functional": "GGA-PBE", "state": "optimized geometry", "cell": [[-0.926, 7.619, -1.773], [-6.637, -1.710, -3.882], [-5.339, 3.345, -0.337]], "species": ["In", "In", "Au", "In", "Hf", "In", "Hf", "Au"], "fractional_positions": [[0.875, 0.900, 0.750], [0.650, 0.125, 0.250], [0.000, 0.000, 0.000], [0.375, 0.350, 0.750], [0.250, 0.750, 0.500], [0.100, 0.625, 0.250], [0.500, 0.500, 0.000], [0.750, 0.250, 0.500]], "e_above_lowest_polymorph_ev_per_atom": 0.271, "dft_energy_ev_per_atom": -4.640, "space_group": "I-42d, No. 122", "delta_e_f_ev_per_atom": 0.04, "magmom_total_mub_per_atom": 0.00}

# 2
{"formula": "SmDy5Tl2", "functional": "GGA-PBE", "state": "optimized geometry", "cell": [[3.638, 0.000, 0.000], [1.819, 8.223, -0.478], [1.819, 2.018, 7.985]], "species": ["Tl", "Dy", "Dy", "Tl", "Dy", "Dy", "Sm", "Dy"], "fractional_positions": [[0.261, 0.239, 0.239], [0.366, 0.861, 0.407], [0.000, 0.500, 0.500], [0.739, 0.761, 0.761], [0.634, 0.593, 0.139], [0.366, 0.407, 0.861], [0.000, 0.000, 0.000], [0.634, 0.139, 0.593]], "dft_energy_ev_per_atom": -4.178, "space_group": "Immm, No. 71", "delta_e_f_ev_per_atom": -0.12, "magmom_total_mub_per_atom": 0.00}

# 3
{"formula": "Ce2ScCu", "functional": "GGA-PBE", "state": "optimized geometry", "cell": [[3.622, 0.000, 0.000], [0.000, 3.622, 0.000], [0.000, 0.000, 7.539]], "species": ["Sc", "Ce", "Cu", "Ce"], "fractional_positions": [[0.500, 0.500, 0.500], [0.000, 0.000, 0.206], [0.500, 0.500, 0.000], [0.000, 0.000, 0.794]], "e_above_lowest_polymorph_ev_per_atom": 0.000, "dft_energy_ev_per_atom": -5.503, "space_group": "P4/mmm, No. 123", "delta_e_f_ev_per_atom": 0.07, "magmom_total_mub_per_atom": 0.37}

# 4
{"formula": "Li3NbGa", "functional": "GGA-PBE", "state": "optimized geometry", "cell": [[-3.498, -3.677, -0.010], [3.200, -3.038, -2.507], [1.811, -1.734, 4.412]], "species": ["Li", "Li", "Ga", "Nb", "Li"], "fractional_positions": [[0.500, 0.000, 0.000], [0.000, 0.500, 0.000], [0.500, 0.500, 0.500], [0.000, 0.000, 0.000], [0.000, 0.000, 0.500]], "dft_energy_ev_per_atom": -2.556, "space_group": "Pm-3m, No. 221", "delta_e_f_ev_per_atom": 1.21, "magmom_total_mub_per_atom": 0.87}

# 5
{"formula": "PrYHoTl", "functional": "GGA-PBE", "state": "optimized geometry", "cell": [[-3.638, -4.095, -0.865], [1.283, -4.172, -3.420], [0.983, -5.060, 2.045]], "species": ["Y", "Ho", "Pr", "Tl"], "fractional_positions": [[0.750, 0.750, 0.750], [0.500, 0.500, 0.500], [0.250, 0.250, 0.250], [0.000, 0.000, 0.000]], "e_above_lowest_polymorph_ev_per_atom": 0.126, "dft_energy_ev_per_atom": -4.607, "space_group": "F-43m, No. 216", "delta_e_f_ev_per_atom": -0.06, "magmom_total_mub_per_atom": 0.32}

# 6
{"formula": "ErThHg2", "functional": "GGA-PBE", "state": "optimized geometry", "cell": [[3.627, 0.000, 0.000], [0.000, 3.627, 0.000], [0.000, 0.000, 8.022]], "species": ["Er", "Hg", "Hg", "Th"], "fractional_positions": [[0.500, 0.500, 0.000], [0.000, 0.000, 0.773], [0.000, 0.000, 0.227], [0.500, 0.500, 0.500]], "e_above_lowest_polymorph_ev_per_atom": 0.000, "dft_energy_ev_per_atom": -3.490, "space_group": "P4/mmm, No. 123", "delta_e_f_ev_per_atom": -0.34, "magmom_total_mub_per_atom": 0.00}

Across the entries above, V takes the values 23.0; 30.3; 24.7; 26.1; 30.1; 26.4 Å³ per atom, respectively.